! Sc2BeHg | the Alexandria database | GGA-PBE | relaxed; values from VASP
&SYSTEM
  ibrav = 0, nat = 4, ntyp = 3
/
ATOMIC_SPECIES
Sc 44.96 Sc.upf
Hg 200.59 Hg.upf
Be 9.01 Be.upf
CELL_PARAMETERS angstrom
-2.906 -3.745 -0.182
-0.339 -2.922 3.721
-3.957 -0.061 2.615
ATOMIC_POSITIONS angstrom
Sc -1.801 -1.682 1.539
Sc 0.000 0.000 0.000
Hg -5.402 -5.046 4.616
Be -3.601 -3.364 3.077
! Calculated density   6.6 g/cm3
! Calculated volume   18.87 Å³/atom
! Total DFT energy (no corrections)   -15.95 eV for the cell shown
! DFT formation energy   0.1849 eV/atom
! E above lowest polymorph   422 meV/atom


! TbHo6Te8 | the Alexandria database | GGA-PBE | relaxed; values from VASP
&SYSTEM
  ibrav = 0, nat = 15, ntyp = 3
/
ATOMIC_SPECIES
Ho 164.93 Ho.upf
Te 127.60 Te.upf
Tb 158.93 Tb.upf
CELL_PARAMETERS angstrom
8.640 0.000 0.000
4.320 7.483 0.000
4.320 2.494 7.055
ATOMIC_POSITIONS angstrom
Ho 6.480 3.741 0.000
Ho 4.320 4.988 3.527
Ho 2.160 3.741 0.000
Ho 6.480 1.247 3.527
Ho 4.320 0.000 0.000
Ho 2.160 1.247 3.527
Te 10.738 6.200 1.814
Te 12.960 7.483 5.291
Te 8.640 2.565 1.814
Te 10.738 3.777 5.241
Te 8.640 7.411 5.241
Te 6.542 6.200 1.814
Te 4.320 2.494 1.764
Te 6.542 3.777 5.241
Tb 0.000 0.000 0.000
! Calculated density   7.9 g/cm3
! Calculated volume   30.41 Å³/atom
! Total DFT energy (no corrections)   -77.36 eV for the cell shown


! Ba2TaBr | the Alexandria database | GGA-PBE | relaxed; values from VASP
&SYSTEM
  ibrav = 0, nat = 4, ntyp = 3
/
ATOMIC_SPECIES
Ba 137.33 Ba.upf
Br 79.90 Br.upf
Ta 180.95 Ta.upf
CELL_PARAMETERS angstrom
7.431 0.000 0.000
4.343 6.030 0.000
-5.887 -3.015 3.387
ATOMIC_POSITIONS angstrom
Ba 2.171 3.015 1.694
Ba 0.000 0.000 0.000
Br 5.887 3.015 0.000
Ta 3.716 0.000 1.694
! Calculated density   5.9 g/cm3
! Calculated volume   37.95 Å³/atom
! Total DFT energy (no corrections)   -15.59 eV for the cell shown
! E above lowest polymorph   335 meV/atom